# NdGe6Te8 PBE-GGA optimized geometry
data_NdGe6Te8
_cell_length_a 10.0709
_cell_length_b 10.0709
_cell_length_c 16.8158
_cell_angle_alpha 90.00
_cell_angle_beta 90.00
_cell_angle_gamma 120.00
_symmetry_space_group_name_H-M 'R -3'
_symmetry_Int_Tables_number 148
_symmetry_space_group_name_Hall '-R 3'
loop_
_atom_site_label
_atom_site_fract_x
_atom_site_fract_y
_atom_site_fract_z
_atom_site_occupancy
Nd1 0.0000 0.0000 0.0000 1
Ge1 0.0074 0.2398 0.3583 1
Te1 0.0000 0.0000 0.2715 1
Te2 0.0418 0.6131 0.7666 1
# Energy relative to the elements, uncorrected   -0.22 eV per atom
# Density   5.4 g/cm3
# Energy   -4.065 eV/atom

# ZnCrSb2 PBE-GGA optimized geometry
data_ZnCrSb2
_cell_length_a 6.076
_cell_length_b 6.076
_cell_length_c 12.426
_cell_angle_alpha 90.00
_cell_angle_beta 90.00
_cell_angle_gamma 90.00
_symmetry_space_group_name_H-M 'I -4 2 d'
_symmetry_Int_Tables_number 122
_symmetry_space_group_name_Hall 'I -4 2bw'
loop_
_atom_site_label
_atom_site_fract_x
_atom_site_fract_y
_atom_site_fract_z
_atom_site_occupancy
Zn1 0.000 0.000 0.000 1
Cr1 0.000 0.000 0.500 1
Sb1 0.235 0.250 0.625 1
# Energy relative to the elements, uncorrected   0.37 eV per atom
# Density   5.2 g/cm3
# Energy   -4.412 eV/atom

# SbAs2W2 PBE-GGA optimized geometry
data_SbAs2W2
_cell_length_a 4.563
_cell_length_b 4.563
_cell_length_c 9.209
_cell_angle_alpha 90.00
_cell_angle_beta 90.00
_cell_angle_gamma 90.00
_symmetry_space_group_name_H-M 'I 4/m m m'
_symmetry_Int_Tables_number 139
_symmetry_space_group_name_Hall '-I 4 2'
loop_
_atom_site_label
_atom_site_fract_x
_atom_site_fract_y
_atom_site_fract_z
_atom_site_occupancy
Sb1 0.000 0.000 0.000 1
As1 0.000 0.000 0.366 1
W1 0.000 0.500 0.250 1
# Energy relative to the elements, uncorrected   0.41 eV per atom
# Density   11.1 g/cm3
# Energy   -7.452 eV/atom

# BeNiSe PBE-GGA optimized geometry
data_BeNiSe
_cell_length_a 6.647
_cell_length_b 3.648
_cell_length_c 7.043
_cell_angle_alpha 90.00
_cell_angle_beta 97.42
_cell_angle_gamma 90.00
_symmetry_space_group_name_H-M 'C 1 m 1'
_symmetry_Int_Tables_number 8
loop_
_symmetry_equiv_pos_as_xyz
'x,y,z'
'x,-y,z'
'x+1/2,y+1/2,z'
'x+1/2,-y+1/2,z'
loop_
_atom_site_label
_atom_site_fract_x
_atom_site_fract_y
_atom_site_fract_z
_atom_site_occupancy
Be1 0.000 0.000 0.000 1
Be2 0.240 0.000 0.421 1
Ni1 0.085 0.500 0.525 1
Ni2 0.398 0.500 0.317 1
Se1 0.332 0.000 0.079 1
Se2 0.428 0.500 0.670 1
# Energy relative to the elements, uncorrected   -0.21 eV per atom
# Density   5.8 g/cm3
# Energy   -4.539 eV/atom

# BPPd2Rh PBE-GGA optimized geometry
data_BPPd2Rh
_cell_length_a 4.464
_cell_length_b 4.464
_cell_length_c 4.367
_cell_angle_alpha 90.00
_cell_angle_beta 90.00
_cell_angle_gamma 90.00
_symmetry_space_group_name_H-M 'P 4/m m m'
_symmetry_Int_Tables_number 123
_symmetry_space_group_name_Hall '-P 4 2'
loop_
_atom_site_label
_atom_site_fract_x
_atom_site_fract_y
_atom_site_fract_z
_atom_site_occupancy
B1 0.000 0.000 0.000 1
P1 0.500 0.500 0.500 1
Pd1 0.000 0.500 0.500 1
Rh1 0.500 0.500 0.000 1
# Offset from the most stable computed form   505.7 meV per atom
# Density   6.8 g/cm3
# Energy   -5.096 eV/atom
# ΔH_f (0 K)   419 kJ/mol of formula units

# Ac2BiRh2 PBE-GGA optimized geometry
data_Ac2BiRh2
_cell_length_a 4.729
_cell_length_b 6.216
_cell_length_c 8.978
_cell_angle_alpha 90.00
_cell_angle_beta 90.00
_cell_angle_gamma 90.00
_symmetry_space_group_name_H-M 'I m m m'
_symmetry_Int_Tables_number 71
_symmetry_space_group_name_Hall '-I 2 2'
loop_
_atom_site_label
_atom_site_fract_x
_atom_site_fract_y
_atom_site_fract_z
_atom_site_occupancy
Ac1 0.000 0.000 0.206 1
Bi1 0.000 0.500 0.000 1
Rh1 0.000 0.279 0.500 1
# Offset from the most stable computed form   0.0 meV per atom
# Density   10.9 g/cm3
# Energy   -6.047 eV/atom
# ΔH_f (0 K)   -331 kJ/mol of formula units

# KRe PBE-GGA optimized geometry
data_KRe
_cell_length_a 2.7862
_cell_length_b 2.7862
_cell_length_c 12.0528
_cell_angle_alpha 90.00
_cell_angle_beta 90.00
_cell_angle_gamma 120.00
_symmetry_space_group_name_H-M 'P 63/m m c'
_symmetry_Int_Tables_number 194
_symmetry_space_group_name_Hall '-P 6c 2c'
loop_
_atom_site_label
_atom_site_fract_x
_atom_site_fract_y
_atom_site_fract_z
_atom_site_occupancy
K1 0.0000 0.0000 0.0000 1
Re1 0.3333 0.6667 0.2500 1
# Offset from the most stable computed form   576.0 meV per atom
# Density   9.2 g/cm3
# Energy   -5.366 eV/atom
# ΔH_f (0 K)   271 kJ/mol of formula units

# NaLaCuH PBE-GGA optimized geometry
data_NaLaCuH
_cell_length_a 3.492
_cell_length_b 3.492
_cell_length_c 12.675
_cell_angle_alpha 90.00
_cell_angle_beta 90.00
_cell_angle_gamma 90.00
_symmetry_space_group_name_H-M 'I 4 m m'
_symmetry_Int_Tables_number 107
_symmetry_space_group_name_Hall 'I 4 -2'
loop_
_atom_site_label
_atom_site_fract_x
_atom_site_fract_y
_atom_site_fract_z
_atom_site_occupancy
Na1 0.000 0.000 0.000 1
La1 0.000 0.000 0.719 1
Cu1 0.000 0.000 0.373 1
H1 0.000 0.000 0.511 1
# Offset from the most stable computed form   107.6 meV per atom
# Density   4.9 g/cm3
# Energy   -3.380 eV/atom

# LiAl2Ir PBE-GGA optimized geometry
data_LiAl2Ir
_cell_length_a 4.1775
_cell_length_b 4.1775
_cell_length_c 13.3638
_cell_angle_alpha 90.00
_cell_angle_beta 90.00
_cell_angle_gamma 120.00
_symmetry_space_group_name_H-M 'R 3 m'
_symmetry_Int_Tables_number 160
_symmetry_space_group_name_Hall 'R 3 -2"'
loop_
_atom_site_label
_atom_site_fract_x
_atom_site_fract_y
_atom_site_fract_z
_atom_site_occupancy
Li1 0.0000 0.0000 0.0000 1
Al1 0.0000 0.0000 0.2124 1
Al2 0.0000 0.0000 0.4347 1
Ir1 0.0000 0.0000 0.8047 1
# Offset from the most stable computed form   322.7 meV per atom
# Density   6.2 g/cm3
# Energy   -4.971 eV/atom
# ΔH_f (0 K)   -157 kJ/mol of formula units

# PuZnAu5 PBE-GGA optimized geometry
data_PuZnAu5
_cell_length_a 4.452
_cell_length_b 4.452
_cell_length_c 7.266
_cell_angle_alpha 90.00
_cell_angle_beta 90.00
_cell_angle_gamma 90.00
_symmetry_space_group_name_H-M 'P 4/m m m'
_symmetry_Int_Tables_number 123
_symmetry_space_group_name_Hall '-P 4 2'
loop_
_atom_site_label
_atom_site_fract_x
_atom_site_fract_y
_atom_site_fract_z
_atom_site_occupancy
Pu1 0.000 0.000 0.000 1
Zn1 0.000 0.000 0.500 1
Au1 0.000 0.500 0.296 1
Au2 0.500 0.500 0.000 1
# Density   14.9 g/cm3
# Energy   -4.744 eV/atom
# ΔH_f (0 K)   -117 kJ/mol of formula units

# Mg2Zn2Cd PBE-GGA optimized geometry
data_Mg2Zn2Cd
_cell_length_a 10.063
_cell_length_b 4.515
_cell_length_c 9.130
_cell_angle_alpha 90.00
_cell_angle_beta 109.82
_cell_angle_gamma 90.00
_symmetry_space_group_name_H-M 'C 1 2/m 1'
_symmetry_Int_Tables_number 12
loop_
_symmetry_equiv_pos_as_xyz
'x,y,z'
'-x,-y,-z'
'-x,y,-z'
'x,-y,z'
'x+1/2,y+1/2,z'
'-x+1/2,-y+1/2,-z'
'-x+1/2,y+1/2,-z'
'x+1/2,-y+1/2,z'
loop_
_atom_site_label
_atom_site_fract_x
_atom_site_fract_y
_atom_site_fract_z
_atom_site_occupancy
Mg1 0.026 0.000 0.335 1
Mg2 0.168 0.000 0.073 1
Zn1 0.040 0.500 0.880 1
Zn2 0.118 0.500 0.615 1
Cd1 0.224 0.500 0.343 1
# Offset from the most stable computed form   31.0 meV per atom
# Density   5.0 g/cm3
# Energy   -1.383 eV/atom
# ΔH_f (0 K)   -26 kJ/mol of formula units

# Sc3InBr PBE-GGA optimized geometry
data_Sc3InBr
_cell_length_a 5.451
_cell_length_b 5.451
_cell_length_c 5.451
_cell_angle_alpha 90.00
_cell_angle_beta 90.00
_cell_angle_gamma 90.00
_symmetry_space_group_name_H-M 'P m -3 m'
_symmetry_Int_Tables_number 221
_symmetry_space_group_name_Hall '-P 4 2 3'
loop_
_atom_site_label
_atom_site_fract_x
_atom_site_fract_y
_atom_site_fract_z
_atom_site_occupancy
Sc1 0.000 0.000 0.500 1
In1 0.000 0.000 0.000 1
Br1 0.500 0.500 0.500 1
# Energy relative to the elements, uncorrected   0.32 eV per atom
# Offset from the most stable computed form   514.7 meV per atom
# Density   3.4 g/cm3
# Energy   -4.359 eV/atom